! TlTeP2, optimized geometry, DFT GGA-PBE; values from VASP
&SYSTEM
  ibrav = 0, nat = 8, ntyp = 3
/
ATOMIC_SPECIES
Tl 204.38 Tl.upf
Te 127.60 Te.upf
P 30.97 P.upf
CELL_PARAMETERS angstrom
-0.0676 5.5898 1.2183
-2.1317 -1.1552 5.1823
5.6358 1.7191 5.8597
ATOMIC_POSITIONS angstrom
Tl 2.2343 4.7631 5.1392
Tl 0.0000 0.0000 0.0000
Te 1.2023 1.3906 7.1212
Te -1.0996 2.2173 3.2003
P 3.3704 2.9351 6.8722
P 0.0672 0.4898 4.8743
P 2.3343 5.1868 9.9181
P 1.1013 3.6957 2.8560
! Energy above the lowest structure with this stoichiometry ... 0.452 eV/atom
! Space-group type ... I-42d, No. 122
! Size of the total moment ... 0.0 μB per formula unit